Entry 1:
A geometry-optimized PrEuSnPt structure, computed with PBE.

a = 5.3346 Å, b = 5.3346 Å, c = 5.3346 Å
α = 60.00°, β = 60.00°, γ = 60.00°
Fractional positions:
Pr: 0.0000 0.0000 0.0000
Eu: 0.5000 0.5000 0.5000
Sn: 0.7500 0.7500 0.7500
Pt: 0.2500 0.2500 0.2500

Values from the calculation:
E_tot = -7.00 eV/atom



Entry 2:
A geometry-optimized Sr6Mg5Cd structure, computed with PBE.

a = 5.8969 Å, b = 8.2822 Å, c = 9.3140 Å
α = 90.00°, β = 108.51°, γ = 90.00°
Fractional positions:
Sr: 0.0000 0.2440 0.0000
Sr: 0.0000 0.7560 0.0000
Sr: 0.3371 0.2477 0.6722
Sr: 0.3371 0.7523 0.6722
Sr: 0.6629 0.2477 0.3278
Sr: 0.6629 0.7523 0.3278
Mg: 0.1657 0.5000 0.3344
Mg: 0.1702 0.0000 0.3427
Mg: 0.5000 0.5000 0.0000
Mg: 0.8298 0.0000 0.6573
Mg: 0.8343 0.5000 0.6656
Cd: 0.5000 0.0000 0.0000

Values from the calculation:
E_tot = -1.68 eV/atom



Entry 3:
A geometry-optimized Pm12Ho5Er2 structure, computed with PBE.

a = 11.6681 Å, b = 11.6681 Å, c = 8.7175 Å
α = 109.15°, β = 109.15°, γ = 35.36°
Fractional positions:
Pm: 0.0457 0.5522 0.7061
Pm: 0.0482 0.0482 0.1948
Pm: 0.1376 0.6500 0.1150
Pm: 0.3500 0.8624 0.8850
Pm: 0.3566 0.3566 0.4371
Pm: 0.4478 0.9543 0.2939
Pm: 0.5522 0.0457 0.7061
Pm: 0.6434 0.6434 0.5629
Pm: 0.6500 0.1376 0.1150
Pm: 0.8624 0.3500 0.8850
Pm: 0.9518 0.9518 0.8052
Pm: 0.9543 0.4478 0.2939
Ho: 0.1496 0.1496 0.5963
Ho: 0.2508 0.2508 0.0076
Ho: 0.5000 0.5000 0.0000
Ho: 0.7492 0.7492 0.9924
Ho: 0.8504 0.8504 0.4037
Er: 0.2427 0.7573 0.5000
Er: 0.7573 0.2427 0.5000

Values from the calculation:
Excess energy over the best structure of this formula in the dataset = 65.8 kJ/mol of formula units



Entry 4:
A geometry-optimized ZnCdPI structure, computed with PBE.

a = 4.1425 Å, b = 4.1425 Å, c = 8.3385 Å
α = 104.51°, β = 104.51°, γ = 59.99°
Fractional positions:
Zn: 0.0000 0.0000 0.0000
Cd: 0.4405 0.4405 0.3192
P: 0.3364 0.3364 0.0091
I: 0.8477 0.8477 0.5386

Values from the calculation:
Formation energy (no corrections) = -270 meV per atom



Entry 5:
A geometry-optimized HfTl2HgBr6 structure, computed with PBE.

a = 8.7722 Å, b = 8.7722 Å, c = 8.7722 Å
α = 55.10°, β = 55.10°, γ = 55.10°
Fractional positions:
Hf: 0.0000 0.0000 0.0000
Tl: 0.1859 0.1859 0.1859
Tl: 0.6580 0.6580 0.6580
Hg: 0.4974 0.4974 0.4974
Br: 0.0411 0.8228 0.3462
Br: 0.1866 0.6579 0.9540
Br: 0.3462 0.0411 0.8228
Br: 0.6579 0.9540 0.1866
Br: 0.8228 0.3462 0.0411
Br: 0.9540 0.1866 0.6579

Values from the calculation:
Formation energy (no corrections) = -1054 meV per atom



Entry 6:
A geometry-optimized YZr2Fe9 structure, computed with PBE.

a = 8.4822 Å, b = 8.4822 Å, c = 8.4822 Å
α = 34.29°, β = 34.29°, γ = 34.29°
Fractional positions:
Y: 0.0000 0.0000 0.0000
Zr: 0.1426 0.1426 0.1426
Zr: 0.8574 0.8574 0.8574
Fe: 0.0826 0.5851 0.5851
Fe: 0.3328 0.3328 0.3328
Fe: 0.4149 0.4149 0.9174
Fe: 0.4149 0.9174 0.4149
Fe: 0.5000 0.5000 0.5000
Fe: 0.5851 0.0826 0.5851
Fe: 0.5851 0.5851 0.0826
Fe: 0.6672 0.6672 0.6672
Fe: 0.9174 0.4149 0.4149

Values from the calculation:
E_tot = -8.50 eV/atom



Entry 7:
A geometry-optimized ThAlGa2Pd4 structure, computed with PBE.

a = 8.9430 Å, b = 8.9430 Å, c = 8.9430 Å
α = 28.18°, β = 28.18°, γ = 28.18°
Fractional positions:
Th: 0.0000 0.0000 0.0000
Al: 0.5000 0.5000 0.5000
Ga: 0.2425 0.2425 0.2425
Ga: 0.7575 0.7575 0.7575
Pd: 0.1349 0.1349 0.1349
Pd: 0.4014 0.4014 0.4014
Pd: 0.5986 0.5986 0.5986
Pd: 0.8651 0.8651 0.8651

Values from the calculation:
E_tot = -5.51 eV/atom



Entry 8:
A geometry-optimized NaTb4Au5 structure, computed with PBE.

a = 3.5897 Å, b = 3.5897 Å, c = 18.3053 Å
α = 90.00°, β = 90.00°, γ = 90.00°
Fractional positions:
Na: 0.0000 0.0000 0.0000
Tb: 0.0000 0.0000 0.1976
Tb: 0.0000 0.0000 0.4000
Tb: 0.0000 0.0000 0.6000
Tb: 0.0000 0.0000 0.8024
Au: 0.5000 0.5000 0.1094
Au: 0.5000 0.5000 0.3018
Au: 0.5000 0.5000 0.5000
Au: 0.5000 0.5000 0.6982
Au: 0.5000 0.5000 0.8906

Values from the calculation:
E_tot = -4.37 eV/atom



Entry 9:
A geometry-optimized BaTc2Rh structure, computed with PBE.

a = 3.0193 Å, b = 4.8766 Å, c = 5.2422 Å
α = 90.00°, β = 90.00°, γ = 90.00°
Fractional positions:
Ba: 0.0000 0.0000 0.0000
Tc: 0.0000 0.5000 0.5000
Tc: 0.5000 0.0000 0.5000
Rh: 0.5000 0.5000 0.0000

Values from the calculation:
Excess energy over the best structure of this formula in the dataset = 269.0 kJ/mol of formula units



Entry 10:
A geometry-optimized LaAlSb2 structure, computed with PBE.

a = 6.1963 Å, b = 6.1963 Å, c = 6.1963 Å
α = 137.62°, β = 137.51°, γ = 61.57°
Fractional positions:
La: 0.0000 0.0000 0.0000
Al: 0.7496 0.2496 0.5000
Sb: 0.2502 0.7502 0.5000
Sb: 0.5004 0.5004 0.0000

Values from the calculation:
Formation energy (no corrections) = -487 meV per atom



Entry 11:
A geometry-optimized Dy2ScAu structure, computed with PBE.

a = 10.8192 Å, b = 10.8192 Å, c = 10.8192 Å
α = 18.68°, β = 18.68°, γ = 18.68°
Fractional positions:
Dy: 0.0990 0.0990 0.0990
Dy: 0.9010 0.9010 0.9010
Sc: 0.0000 0.0000 0.0000
Au: 0.5000 0.5000 0.5000

Values from the calculation:
Excess energy over the best structure of this formula in the dataset = 155.3 kJ/mol of formula units



For reference, spin magnetization by record: 6.88 0.00 0.00 0.00 0.00 16.37 0.00 0.00 0.70 0.00 0.53 μB/f.u..